Entry 1:
Compound: PmPd12Pb3
Source: Alexandria via LeMat-Bulk
Functional: GGA-PBE
Structure: optimized geometry

For the density of states at the Fermi level, the calculation gives 0.21 states/eV/atom.

It has space group P4/mmm (No. 123), with a = 4.1351 Å, b = 4.1351 Å, c = 16.4689 Å, α = 90.00°, β = 90.00° and γ = 90.00°. The distinct sites, in fractional coordinates, are Pm at (0.0000, 0.0000, 0.0000), Pd at (0.0000, 0.5000, 0.1289), Pd at (0.0000, 0.5000, 0.3760), Pd at (0.5000, 0.5000, 0.0000), Pd at (0.5000, 0.5000, 0.2529), Pd at (0.5000, 0.5000, 0.5000), Pb at (0.0000, 0.0000, 0.2523) and Pb at (0.0000, 0.0000, 0.5000).

Entry 2:
Compound: Pm4Pd7Pb
Source: Alexandria via LeMat-Bulk
Functional: GGA-PBE
Structure: optimized geometry

For the density of states at the Fermi level, the calculation gives 0.51 states/eV/atom.

It has space group C2/m (No. 12), with a = 10.9582 Å, b = 5.3470 Å, c = 10.7362 Å, α = 90.00°, β = 120.25° and γ = 90.00°. The distinct sites, in fractional coordinates, are Pm at (0.0966, 0.0000, 0.2873), Pm at (0.2091, 0.5000, 0.1304), Pd at (0.0000, 0.0000, 0.5000), Pd at (0.0754, 0.5000, 0.8112), Pd at (0.1325, 0.0000, 0.0236), Pd at (0.2134, 0.5000, 0.4030) and Pb at (0.0000, 0.5000, 0.5000).

Entry 3:
Compound: Pm2Pd3Pb5
Source: Alexandria via LeMat-Bulk
Functional: GGA-PBE
Structure: optimized geometry

For the density of states at the Fermi level, the calculation gives 0.62 states/eV/atom.

It has space group Cmc2_1 (No. 36), with a = 4.6427 Å, b = 27.9095 Å, c = 7.6631 Å, α = 90.00°, β = 90.00° and γ = 90.00°. The distinct sites, in fractional coordinates, are Pm at (0.0000, 0.0241, 0.0000), Pm at (0.0000, 0.3286, 0.0346), Pd at (0.0000, 0.1049, 0.7460), Pd at (0.0000, 0.2747, 0.5449), Pd at (0.0000, 0.4532, 0.7808), Pb at (0.0000, 0.0960, 0.3718), Pb at (0.0000, 0.2037, 0.8262), Pb at (0.0000, 0.2095, 0.2521), Pb at (0.0000, 0.3784, 0.5099) and Pb at (0.0000, 0.4514, 0.1663).

Number 1: uncorrected energy -5.3008 eV/atom. Number 2: uncorrected energy -5.5249 eV/atom. Number 3: uncorrected energy -4.8322 eV/atom.